[1]
ScHg2Pd2: optimized geometry, PBE.

abc: 7.697 7.697 3.299
angles: 90.00 90.00 90.00
Space group P4/mbm (No. 127)
Unique sites:
Sc: 0.000 0.000 0.000 x2
Hg: 0.131 0.369 0.000 x4
Pd: 0.171 0.671 0.500 x4

Calculated values
E = -3.71 eV/atom

---

[2]
Cd4FeAg: optimized geometry, PBE.

abc: 7.913 7.913 7.913
angles: 90.00 90.00 90.00
Space group F-43m (No. 216)
Unique sites:
Cd: 0.125 0.125 0.125 x16
Fe: 0.250 0.250 0.750 x4
Ag: 0.000 0.000 0.500 x4

Calculated values
E = -2.05 eV/atom

---

[3]
TlAgTe2: optimized geometry, PBE.

abc: 6.072 13.524 6.627
angles: 90.00 114.15 90.00
Space group C2/c (No. 15)
Unique sites:
Tl: 0.000 0.117 0.250 x4
Ag: 0.000 0.292 0.750 x4
Te: 0.193 0.381 0.178 x8

Calculated values
E = -3.01 eV/atom

---

[4]
Rb2PrSnO4: optimized geometry, PBE.

abc: 8.446 8.255 6.413
angles: 90.00 129.77 90.00
Space group C2 (No. 5)
Unique sites:
Rb: 0.000 0.000 0.000 x2
Rb: 0.000 0.254 0.500 x2
Pr: 0.000 0.480 0.000 x2
Sn: 0.000 0.746 0.500 x2
O: 0.144 0.595 0.414 x4
O: 0.239 0.302 0.078 x4

Calculated values
E = -5.71 eV/atom

---

[5]
Li4CoHg: optimized geometry, PBE.

abc: 7.002 7.002 7.002
angles: 90.00 90.00 90.00
Space group F-43m (No. 216)
Unique sites:
Li: 0.124 0.124 0.124 x16
Co: 0.250 0.250 0.750 x4
Hg: 0.000 0.000 0.500 x4

Calculated values
E = -2.32 eV/atom

---

[6]
GdPuZn2: optimized geometry, PBE.

abc: 5.080 5.080 3.597
angles: 90.00 90.00 90.00
Space group P4/mmm (No. 123)
Unique sites:
Gd: 0.000 0.000 0.000 x1
Pu: 0.500 0.500 0.000 x1
Zn: 0.000 0.500 0.500 x2

Calculated values
E = -7.93 eV/atom